# 1
The following is a PBE calculation of a relaxed structure of CoSn3As, from Alexandria via LeMat-Bulk.

**N(E_F)**: 4.42 states/eV/f.u.
**Magnetic moment**: 2.05 μB per formula unit
**Formation energy**: 1.061 eV per atom
**Final energy**: -18.46 eV per cell

Unit cell a=5.3869 b=5.3869 c=5.3869 alpha=90.00 beta=90.00 gamma=90.00
With the nearest neighbours (Å) after each atom.
Fractional positions:
Co (0.5000, 0.5000, 0.5000)  12 Sn 3.81
Sn (0.0000, 0.0000, 0.5000)  2 As 2.69
Sn (0.5000, 0.0000, 0.0000)  2 As 2.69
As (0.0000, 0.0000, 0.0000)  6 Sn 2.69
Sn (0.0000, 0.5000, 0.0000)  2 As 2.69

# 2
The following is a PBE calculation of a relaxed structure of PaAgPt2O8, from Alexandria via LeMat-Bulk.

**N(E_F)**: 8.96 states/eV/f.u.
**Magnetic moment**: 0.00 μB per formula unit
**Final energy**: -74.87 eV per cell

Unit cell a=6.0702 b=6.0702 c=6.0702 alpha=109.49 beta=109.49 gamma=109.43
With the nearest neighbours (Å) after each atom.
Fractional positions:
Pa (0.2500, 0.7500, 0.5000)  8 O 2.26-2.32
O (0.2959, 0.1152, 0.8192)  1 Pt 1.91
Pt (0.7500, 0.2500, 0.5000)  4 O 1.95
O (0.3600, 0.0326, 0.3274)  1 Pt 1.95
O (0.8848, 0.7041, 0.1808)  1 Pt 1.91
O (0.5233, 0.7041, 0.8192)  1 Pt 1.91
O (0.7052, 0.0326, 0.6726)  1 Pt 1.95
O (0.9674, 0.6400, 0.6726)  1 Pt 1.95
O (0.9674, 0.2948, 0.3274)  1 Pt 1.95
Pt (0.5000, 0.5000, 0.0000)  4 O 1.91
O (0.2959, 0.4767, 0.1808)  1 Pt 1.91
Ag (0.0000, 0.0000, 0.0000)  8 O 2.31-2.43